No. 1
## MnV2GaO6 (GGA+U)

Data for a relaxed structure of MnV2GaO6.

abc: 5.092 5.095 5.485
angles: 62.07 62.18 59.98
Atoms (fractional coordinates):
O  0.216  0.922  0.249
O  0.611  0.216  0.250
O  0.719  0.107  0.750
O  0.424  0.718  0.750
O  0.923  0.610  0.250
O  0.109  0.424  0.748
Ga  0.309  0.309  0.073
Mn  0.816  0.820  0.548
V  0.516  0.514  0.455
V  0.020  0.020  0.940

Values from the calculation:
The density of states at the Fermi level comes out at 0.000 states/eV/cell. As for the space group: P1, No. 1. The calculation puts the raw total energy at -7.2620 eV/atom.

No. 2
## MnGaWO6 (GGA+U)

Data for a relaxed structure of MnGaWO6.

abc: 4.635 4.635 9.009
angles: 90.00 90.00 90.00
Atoms (fractional coordinates):
Ga  0.000  0.000  0.331
Ga  0.500  0.500  0.831
O  0.801  0.199  0.166
O  0.301  0.301  0.666
O  0.696  0.696  0.329
O  0.304  0.304  0.329
O  0.196  0.804  0.829
O  0.804  0.196  0.829
O  0.304  0.304  0.005
O  0.196  0.804  0.505
O  0.199  0.801  0.166
O  0.804  0.196  0.505
O  0.699  0.699  0.666
O  0.696  0.696  0.005
Mn  0.000  0.000  0.001
Mn  0.500  0.500  0.501
W  0.500  0.500  0.168
W  0.000  0.000  0.668

Values from the calculation:
As for the space group: P4_2nm, No. 102. The calculation puts the raw total energy at -6.9581 eV/atom.

No. 3
## MnZnGaO4 (GGA+U)

Data for a relaxed structure of MnZnGaO4.

abc: 5.911 5.961 5.937
angles: 119.87 90.00 119.73
Atoms (fractional coordinates):
O  0.741  0.027  0.263
O  0.262  0.523  0.286
O  0.714  0.973  0.737
O  0.262  0.523  0.737
O  0.738  0.477  0.714
O  0.286  0.027  0.263
O  0.259  0.973  0.737
O  0.738  0.477  0.263
Mn  0.000  0.500  0.500
Mn  0.500  0.500  0.500
Zn  0.123  0.246  0.873
Zn  0.877  0.754  0.127
Ga  0.500  0.000  0.000
Ga  0.500  0.000  0.500

Values from the calculation:
As for the space group: Imma, No. 74. The calculation puts the raw total energy at -6.0398 eV/atom.